# PrYAg2Sb4, relaxed, DFT PBE
data_PrYAg2Sb4
_chemical_formula_sum 'Pr1 Y1 Ag2 Sb4'
_space_group_name_H-M_alt 'P 1'
_space_group_IT_number 1
_cell_length_a 4.385
_cell_length_b 4.385
_cell_length_c 10.531
_cell_angle_alpha 90.00
_cell_angle_beta 90.00
_cell_angle_gamma 90.00
loop_
_space_group_symop_operation_xyz
'x,y,z'
loop_
_atom_site_label
_atom_site_type_symbol
_atom_site_fract_x
_atom_site_fract_y
_atom_site_fract_z
Pr1 Pr 0.000 0.000 0.000
Y1 Y 0.500 0.500 0.525
Ag1 Ag 0.000 0.500 0.269
Ag2 Ag 0.500 0.000 0.269
Sb1 Sb 0.000 0.000 0.449
Sb2 Sb 0.000 0.500 0.758
Sb3 Sb 0.500 0.000 0.758
Sb4 Sb 0.500 0.500 0.088
# crystal system = tetragonal
# space group = P4mm

=====

# Pr3AgSe, relaxed, DFT PBE
data_Pr3AgSe
_chemical_formula_sum 'Pr3 Ag1 Se1'
_space_group_name_H-M_alt 'P 1'
_space_group_IT_number 1
_cell_length_a 5.588
_cell_length_b 5.588
_cell_length_c 5.588
_cell_angle_alpha 90.00
_cell_angle_beta 90.00
_cell_angle_gamma 90.00
loop_
_space_group_symop_operation_xyz
'x,y,z'
loop_
_atom_site_label
_atom_site_type_symbol
_atom_site_fract_x
_atom_site_fract_y
_atom_site_fract_z
Pr1 Pr 0.000 0.000 0.500
Pr2 Pr 0.000 0.500 0.000
Pr3 Pr 0.500 0.000 0.000
Ag1 Ag 0.500 0.500 0.500
Se1 Se 0.000 0.000 0.000
# crystal system = cubic
# space group = Pm-3m

=====

Calculated E in order - -4.8306 -4.5173 eV per atom